No. 1
This record from the Alexandria database describes an optimized crystal structure of K2SrCu. The functional is PBE.

Cell: 11.229 11.229 6.395 Å, 90.00 90.00 90.00°
Space group I-42d (No. 122)
Unique sites:
K (0.143, 0.250, 0.125)
Sr (0.000, 0.000, 0.500)
Cu (0.000, 0.000, 0.000)

Results
D(E_F): 11.76 states/eV/cell
calculated formation energy: 0.305 eV per atom
electronic total energy: -27.02 eV/cell
calculated volume: 50.40 Å³/atom
excess energy over the best structure of this formula in the dataset: 0.168 eV/atom
ρ: 1.89 Mg/m³

---

No. 2
This record from the Alexandria database describes an optimized crystal structure of K2SrCu. The functional is PBE.

Cell: 4.3918 4.3918 36.3024 Å, 90.00 90.00 120.00°
Space group R-3m (No. 166, hexagonal axes)
Unique sites:
K (0.0000, 0.0000, 0.2250)
Sr (0.0000, 0.0000, 0.0000)
Cu (0.0000, 0.0000, 0.5000)

Results
D(E_F): 6.03 states/eV/cell
calculated formation energy: 0.313 eV per atom
electronic total energy: -20.16 eV/cell
calculated volume: 50.53 Å³/atom
excess energy over the best structure of this formula in the dataset: 0.177 eV/atom
ρ: 1.88 Mg/m³

---

No. 3
This record from the Alexandria database describes an optimized crystal structure of K2SrCu. The functional is PBE.

Cell: 5.788 5.812 11.070 Å, 90.00 90.00 90.00°
Space group Cmmm (No. 65)
Unique sites:
K (0.000, 0.000, 0.173)
Sr (0.000, 0.500, 0.500)
Cu (0.000, 0.500, 0.000)

Results
D(E_F): 6.47 states/eV/cell
calculated formation energy: 0.304 eV per atom
electronic total energy: -13.51 eV/cell
calculated volume: 46.55 Å³/atom
excess energy over the best structure of this formula in the dataset: 0.168 eV/atom
ρ: 2.05 Mg/m³

---

No. 4
This record from the Alexandria database describes an optimized crystal structure of KSrCu3. The functional is PBE.

Cell: 5.776 5.776 5.776 Å, 90.00 90.00 90.00°
Space group Pm-3m (No. 221)
Unique sites:
K (0.000, 0.000, 0.000)
Sr (0.500, 0.500, 0.500)
Cu (0.000, 0.500, 0.500)

Results
D(E_F): 0.00 states/eV/cell
calculated formation energy: 0.741 eV per atom
electronic total energy: -11.36 eV/cell
calculated volume: 38.55 Å³/atom
excess energy over the best structure of this formula in the dataset: 0.000 eV/atom
ρ: 2.73 Mg/m³

---

No. 5
This record from the Alexandria database describes an optimized crystal structure of K2SrCu. The functional is PBE.

Cell: 6.326 13.931 4.603 Å, 90.00 90.00 90.00°
Space group Cmmm (No. 65)
Unique sites:
K (0.000, 0.163, 0.000)
Sr (0.000, 0.500, 0.500)
Cu (0.000, 0.000, 0.500)

Results
D(E_F): 5.94 states/eV/cell
calculated formation energy: 0.247 eV per atom
electronic total energy: -13.97 eV/cell
calculated volume: 50.71 Å³/atom
excess energy over the best structure of this formula in the dataset: 0.111 eV/atom
ρ: 1.88 Mg/m³

---

No. 6
This record from the Alexandria database describes an optimized crystal structure of KSrCu2. The functional is PBE.

Cell: 7.656 7.672 3.887 Å, 90.00 90.00 90.00°
Space group Cmmm (No. 65)
Unique sites:
K (0.000, 0.000, 0.000)
Sr (0.000, 0.500, 0.000)
Cu (0.250, 0.250, 0.500)

Results
D(E_F): 3.16 states/eV/cell
calculated formation energy: 0.274 eV per atom
electronic total energy: -19.75 eV/cell
calculated volume: 28.54 Å³/atom
excess energy over the best structure of this formula in the dataset: 0.136 eV/atom
ρ: 3.69 Mg/m³

---

No. 7
This record from the Alexandria database describes an optimized crystal structure of K2SrCu. The functional is PBE.

Cell: 4.044 4.797 20.280 Å, 90.00 90.00 90.00°
Space group Immm (No. 71)
Unique sites:
K (0.000, 0.000, 0.160)
Sr (0.000, 0.500, 0.000)
Cu (0.000, 0.500, 0.500)

Results
D(E_F): 5.92 states/eV/cell
calculated formation energy: 0.165 eV per atom
electronic total energy: -14.62 eV/cell
calculated volume: 49.17 Å³/atom
excess energy over the best structure of this formula in the dataset: 0.029 eV/atom
ρ: 1.94 Mg/m³

---

No. 8
This record from the Alexandria database describes an optimized crystal structure of KSrCu2. The functional is PBE.

Cell: 4.251 4.339 15.392 Å, 90.00 90.00 90.00°
Space group Imm2 (No. 44)
Unique sites:
K (0.000, 0.000, 0.000)
Sr (0.000, 0.500, 0.745)
Cu (0.000, 0.000, 0.604)
Cu (0.000, 0.500, 0.178)

Results
D(E_F): 4.26 states/eV/cell
calculated formation energy: 0.178 eV per atom
electronic total energy: -20.52 eV/cell
calculated volume: 35.50 Å³/atom
excess energy over the best structure of this formula in the dataset: 0.040 eV/atom
ρ: 2.97 Mg/m³